## A
Entry from Alexandria via LeMat-Bulk: a relaxed structure of BeTcB3 (PBE).

## Properties
Its crystal system is cubic. For the total magnetization, the calculation gives 0.0 μB/cell. As for the calculated volume: 13.214 Å³/atom. The density of states at the Fermi level comes out at 2.1 states/eV/cell.

a b c (Å): 4.043 4.043 4.043
angles (deg): 90.00 90.00 90.00
Fractional positions:
Be1 0.000 0.000 0.000
Tc1 0.500 0.500 0.500
B1 0.000 0.500 0.500
B2 0.500 0.000 0.500
B3 0.500 0.500 0.000

***

## B
Entry from Alexandria via LeMat-Bulk: a relaxed structure of BeTcB3 (PBE).

## Properties
Its crystal system is monoclinic. For the total magnetization, the calculation gives 0.0 μB/cell. As for the calculated volume: 8.234 Å³/atom. The density of states at the Fermi level comes out at 1.2 states/eV/cell.

a b c (Å): 4.057 5.107 4.432
angles (deg): 90.00 116.26 90.00
Fractional positions:
Be1 0.204 0.000 0.123
Be2 0.796 0.500 0.877
Tc1 0.164 0.748 0.578
Tc2 0.836 0.248 0.422
B1 0.271 0.402 0.282
B2 0.318 0.379 0.912
B3 0.433 0.179 0.644
B4 0.567 0.679 0.356
B5 0.682 0.879 0.088
B6 0.729 0.902 0.718

***

## C
Entry from Alexandria via LeMat-Bulk: a relaxed structure of BeTcB3 (PBE).

## Properties
Its crystal system is cubic. For the total magnetization, the calculation gives 0.0 μB/cell. As for the calculated volume: 8.686 Å³/atom. The density of states at the Fermi level comes out at 2.7 states/eV/cell.

a b c (Å): 3.515 3.515 3.515
angles (deg): 90.00 90.00 90.00
Fractional positions:
Be1 0.000 0.000 0.000
Tc1 0.500 0.500 0.500
B1 0.000 0.000 0.500
B2 0.000 0.500 0.000
B3 0.500 0.000 0.000

***

Name the most stable of them. B.

***

## A
Entry from Alexandria via LeMat-Bulk: a relaxed structure of Be3TcB (PBE).

## Properties
Its crystal system is monoclinic. For the total magnetization, the calculation gives 0.0 μB/cell. As for the calculated volume: 8.744 Å³/atom. The density of states at the Fermi level comes out at 4.0 states/eV/cell.

a b c (Å): 4.158 4.408 5.135
angles (deg): 90.00 111.73 90.00
Fractional positions:
Be1 0.188 0.250 0.119
Be2 0.275 0.506 0.797
Be3 0.275 0.994 0.797
Be4 0.725 0.006 0.203
Be5 0.725 0.494 0.203
Be6 0.812 0.750 0.881
Tc1 0.287 0.750 0.356
Tc2 0.713 0.250 0.644
B1 0.128 0.250 0.456
B2 0.872 0.750 0.544

***

## B
Entry from Alexandria via LeMat-Bulk: a relaxed structure of Be3TcB (PBE).

## Properties
Its crystal system is cubic. For the total magnetization, the calculation gives 1.3 μB/cell. As for the calculated volume: 9.389 Å³/atom. The density of states at the Fermi level comes out at 2.5 states/eV/cell.

a b c (Å): 3.607 3.607 3.607
angles (deg): 90.00 90.00 90.00
Fractional positions:
Be1 0.000 0.000 0.500
Be2 0.000 0.500 0.000
Be3 0.500 0.000 0.000
Tc1 0.500 0.500 0.500
B1 0.000 0.000 0.000

***

## C
Entry from Alexandria via LeMat-Bulk: a relaxed structure of Be3TcB (PBE).

## Properties
Its crystal system is cubic. For the total magnetization, the calculation gives 0.0 μB/cell. As for the calculated volume: 14.401 Å³/atom. The density of states at the Fermi level comes out at 3.1 states/eV/cell.

a b c (Å): 4.160 4.160 4.160
angles (deg): 90.00 90.00 90.00
Fractional positions:
Be1 0.000 0.000 0.500
Be2 0.000 0.500 0.000
Be3 0.500 0.000 0.000
Tc1 0.000 0.000 0.000
B1 0.500 0.500 0.500

***

Name the most stable of them. A.

***

## A
Entry from Alexandria via LeMat-Bulk: a relaxed structure of BeTcB (PBE).

## Properties
Its crystal system is tetragonal. For the total magnetization, the calculation gives 0.0 μB/cell. As for the calculated volume: 10.688 Å³/atom. The density of states at the Fermi level comes out at 0.8 states/eV/cell.

a b c (Å): 4.334 4.334 4.334
angles (deg): 140.94 140.94 56.43
Fractional positions:
Be1 0.000 0.000 0.000
Tc1 0.308 0.308 0.000
B1 0.724 0.724 0.000

***

## B
Entry from Alexandria via LeMat-Bulk: a relaxed structure of BeTcB (PBE).

## Properties
Its crystal system is monoclinic. For the total magnetization, the calculation gives 0.0 μB/cell. As for the calculated volume: 9.235 Å³/atom. The density of states at the Fermi level comes out at 2.2 states/eV/cell.

a b c (Å): 4.989 4.215 5.637
angles (deg): 90.00 110.79 90.00
Fractional positions:
Be1 0.085 0.110 0.199
Be2 0.085 0.390 0.699
Be3 0.915 0.610 0.301
Be4 0.915 0.890 0.801
Tc1 0.312 0.611 0.119
Tc2 0.312 0.889 0.619
Tc3 0.688 0.111 0.381
Tc4 0.688 0.389 0.881
B1 0.339 0.117 0.989
B2 0.339 0.383 0.489
B3 0.661 0.617 0.511
B4 0.661 0.883 0.011

***

## C
Entry from Alexandria via LeMat-Bulk: a relaxed structure of BeTcB (PBE).

## Properties
Its crystal system is tetragonal. For the total magnetization, the calculation gives 0.0 μB/cell. As for the calculated volume: 11.773 Å³/atom. The density of states at the Fermi level comes out at 4.4 states/eV/cell.

a b c (Å): 5.271 5.271 5.271
angles (deg): 135.63 135.63 64.56
Fractional positions:
Be1 0.000 0.000 0.000
Be2 0.750 0.250 0.500
Tc1 0.303 0.803 0.500
Tc2 0.553 0.553 0.000
B1 0.532 0.032 0.500
B2 0.782 0.782 0.000

***

## D
Entry from Alexandria via LeMat-Bulk: a relaxed structure of BeTcB (PBE).

## Properties
Its crystal system is orthorhombic. For the total magnetization, the calculation gives 0.0 μB/cell. As for the calculated volume: 9.574 Å³/atom. The density of states at the Fermi level comes out at 1.2 states/eV/cell.

a b c (Å): 6.598 6.598 2.957
angles (deg): 90.00 90.00 153.50
Fractional positions:
Be1 0.210 0.790 0.750
Be2 0.790 0.210 0.250
Tc1 0.403 0.597 0.750
Tc2 0.597 0.403 0.250
B1 0.043 0.957 0.750
B2 0.957 0.043 0.250

***

Name the most stable of them. B.

***

## A
Entry from Alexandria via LeMat-Bulk: a relaxed structure of BeTc2B (PBE).

## Properties
Its crystal system is cubic. For the total magnetization, the calculation gives 0.0 μB/cell. As for the calculated volume: 10.628 Å³/atom. The density of states at the Fermi level comes out at 4.6 states/eV/cell.

a b c (Å): 3.917 3.917 3.917
angles (deg): 60.00 60.00 60.00
Fractional positions:
Be1 0.000 0.000 0.000
Tc1 0.250 0.250 0.250
Tc2 0.750 0.750 0.750
B1 0.500 0.500 0.500

***

## B
Entry from Alexandria via LeMat-Bulk: a relaxed structure of BeTc2B (PBE).

## Properties
Its crystal system is trigonal. For the total magnetization, the calculation gives 0.0 μB/cell. As for the calculated volume: 11.349 Å³/atom. The density of states at the Fermi level comes out at 3.3 states/eV/cell.

a b c (Å): 5.740 5.740 5.740
angles (deg): 31.33 31.33 31.33
Fractional positions:
Be1 0.000 0.000 0.000
Tc1 0.239 0.239 0.239
Tc2 0.761 0.761 0.761
B1 0.500 0.500 0.500

***

## C
Entry from Alexandria via LeMat-Bulk: a relaxed structure of BeTc2B (PBE).

## Properties
Its crystal system is tetragonal. For the total magnetization, the calculation gives 0.0 μB/cell. As for the calculated volume: 11.508 Å³/atom. The density of states at the Fermi level comes out at 5.4 states/eV/cell.

a b c (Å): 4.937 4.937 4.937
angles (deg): 106.95 106.95 114.63
Fractional positions:
Be1 0.000 0.000 0.000
Be2 0.750 0.250 0.500
Tc1 0.155 0.625 0.030
Tc2 0.375 0.405 0.530
Tc3 0.595 0.125 0.970
Tc4 0.875 0.845 0.470
B1 0.250 0.750 0.500
B2 0.500 0.500 0.000

***

Name the most stable of them. B.

***

## A
Entry from Alexandria via LeMat-Bulk: a relaxed structure of Be3BTe (PBE).

## Properties
Its crystal system is cubic. For the total magnetization, the calculation gives 0.0 μB/cell. As for the calculated volume: 12.457 Å³/atom. The density of states at the Fermi level comes out at 3.0 states/eV/cell.

a b c (Å): 3.964 3.964 3.964
angles (deg): 90.00 90.00 90.00
Fractional positions:
Be1 0.000 0.000 0.500
Be2 0.000 0.500 0.000
Be3 0.500 0.000 0.000
B1 0.000 0.000 0.000
Te1 0.500 0.500 0.500

***

## B
Entry from Alexandria via LeMat-Bulk: a relaxed structure of Be3BTe (PBE).

## Properties
Its crystal system is cubic. For the total magnetization, the calculation gives 0.0 μB/cell. As for the calculated volume: 19.831 Å³/atom. The density of states at the Fermi level comes out at 5.2 states/eV/cell.

a b c (Å): 4.629 4.629 4.629
angles (deg): 90.00 90.00 90.00
Fractional positions:
Be1 0.000 0.000 0.500
Be2 0.000 0.500 0.000
Be3 0.500 0.000 0.000
B1 0.500 0.500 0.500
Te1 0.000 0.000 0.000

***

Name the most stable of them. A.

***

## A
Entry from Alexandria via LeMat-Bulk: a relaxed structure of BeB3Te (PBE).

## Properties
Its crystal system is cubic. For the total magnetization, the calculation gives 0.0 μB/cell. As for the calculated volume: 17.408 Å³/atom. The density of states at the Fermi level comes out at 2.7 states/eV/cell.

a b c (Å): 4.432 4.432 4.432
angles (deg): 90.00 90.00 90.00
Fractional positions:
Be1 0.000 0.000 0.000
B1 0.000 0.500 0.500
B2 0.500 0.000 0.500
B3 0.500 0.500 0.000
Te1 0.500 0.500 0.500

***

## B
Entry from Alexandria via LeMat-Bulk: a relaxed structure of BeB3Te (PBE).

## Properties
Its crystal system is cubic. For the total magnetization, the calculation gives 0.0 μB/cell. As for the calculated volume: 12.265 Å³/atom. The density of states at the Fermi level comes out at 2.3 states/eV/cell.

a b c (Å): 3.943 3.943 3.943
angles (deg): 90.00 90.00 90.00
Fractional positions:
Be1 0.000 0.000 0.000
B1 0.000 0.000 0.500
B2 0.000 0.500 0.000
B3 0.500 0.000 0.000
Te1 0.500 0.500 0.500

***

Name the most stable of them. B.